# 1
# VSiNi2 (PBE, relaxed)
data_VSiNi2
_symmetry_space_group_name_H-M 'P 1'
_symmetry_Int_Tables_number 1
_symmetry_space_group_name_Hall 'P 1'
_cell_length_a 3.6861
_cell_length_b 3.5581
_cell_length_c 3.5581
_cell_angle_alpha 90.00
_cell_angle_beta 90.00
_cell_angle_gamma 90.00
loop_
_atom_site_label
_atom_site_fract_x
_atom_site_fract_y
_atom_site_fract_z
Ni1 0.0000 0.0000 0.5000
Ni2 0.0000 0.5000 0.0000
Si1 0.5000 0.0000 0.0000
V1 0.5000 0.5000 0.5000
# SG: P4/mmm (123)
# Raw formation energy: -0.361 eV/atom
# VASP energy: -6.887 eV per atom

---

# 2
# VSiNi2 (PBE, relaxed)
data_VSiNi2
_symmetry_space_group_name_H-M 'P 1'
_symmetry_Int_Tables_number 1
_symmetry_space_group_name_Hall 'P 1'
_cell_length_a 3.8605
_cell_length_b 2.5691
_cell_length_c 4.8425
_cell_angle_alpha 101.44
_cell_angle_beta 90.00
_cell_angle_gamma 90.00
loop_
_atom_site_label
_atom_site_fract_x
_atom_site_fract_y
_atom_site_fract_z
V1 0.5000 0.5000 0.0000
Si1 0.5000 0.0000 0.5000
Ni1 0.0000 0.1502 0.2566
Ni2 0.0000 0.8498 0.7434
# SG: P2/m (10)
# Raw formation energy: -0.328 eV/atom
# VASP energy: -6.854 eV per atom

---

# 3
# VSiNi6 (PBE, relaxed)
data_VSiNi6
_symmetry_space_group_name_H-M 'P 1'
_symmetry_Int_Tables_number 1
_symmetry_space_group_name_Hall 'P 1'
_cell_length_a 4.2078
_cell_length_b 4.2078
_cell_length_c 6.4488
_cell_angle_alpha 72.96
_cell_angle_beta 72.96
_cell_angle_gamma 69.03
loop_
_atom_site_label
_atom_site_fract_x
_atom_site_fract_y
_atom_site_fract_z
V1 0.5000 0.5000 0.5000
Si1 0.0000 0.0000 0.0000
Ni1 0.0654 0.5518 0.3001
Ni2 0.5518 0.0654 0.3001
Ni3 0.4482 0.9346 0.6999
Ni4 0.9346 0.4482 0.6999
Ni5 0.3503 0.3503 0.9398
Ni6 0.6497 0.6497 0.0602
# SG: C2/m (12)
# Raw formation energy: -0.023 eV/atom
# VASP energy: -6.177 eV per atom

---

> Which of these has the lowest VASP energy?

number 1